No. 1
Computed, not measured: a relaxed CaMo2N crystal at the PBE level of DFT.

## Properties
- Formation energy (no corrections): 33.0 kJ/mol of atoms
- Size of the total moment: 0.0 μB/cell

Lattice parameters (Å, degrees): 6.240 6.240 6.238 59.99 59.99 90.00
Fractional positions:
Mo (0.374, 0.125, 0.250)
Mo (0.376, 0.625, 0.250)
Mo (0.375, 0.626, 0.750)
Mo (0.875, 0.624, 0.750)
Ca (0.000, 0.000, 0.000)
Ca (0.750, 0.250, 0.500)
N (0.500, 0.500, 0.000)
N (0.250, 0.750, 0.500)

***

No. 2
Computed, not measured: a relaxed SrAcTlSi crystal at the PBE level of DFT.

## Properties
- Formation energy (no corrections): -26.6 kJ/mol of atoms
- Size of the total moment: 0.0 μB/cell

Lattice parameters (Å, degrees): 5.613 5.613 5.613 60.00 60.00 60.00
Fractional positions:
Sr (0.500, 0.500, 0.500)
Ac (0.000, 0.000, 0.000)
Si (0.750, 0.750, 0.750)
Tl (0.250, 0.250, 0.250)

***

No. 3
Computed, not measured: a relaxed LuThCdSn crystal at the PBE level of DFT.

## Properties
- ΔH_f (0 K): -0.313 eV/atom
- Size of the total moment: 0.0 μB/cell

Lattice parameters (Å, degrees): 5.349 5.349 5.349 60.00 60.00 60.00
Fractional positions:
Lu (0.500, 0.500, 0.500)
Sn (0.250, 0.250, 0.250)
Th (0.000, 0.000, 0.000)
Cd (0.750, 0.750, 0.750)

***

No. 4
Computed, not measured: a relaxed NaLi2In2Ga2 crystal at the PBE level of DFT.

## Properties
- ΔH_f (0 K): -0.170 eV/atom
- Size of the total moment: 0.0 μB/cell

Lattice parameters (Å, degrees): 4.624 4.624 8.735 74.65 74.65 60.00
Fractional positions:
Na (0.000, 0.000, 0.000)
Li (0.137, 0.137, 0.590)
Li (0.863, 0.863, 0.410)
In (0.743, 0.743, 0.771)
In (0.257, 0.257, 0.229)
Ga (0.556, 0.556, 0.332)
Ga (0.444, 0.444, 0.668)

***

No. 5
Computed, not measured: a relaxed DyEr4Tm6 crystal at the PBE level of DFT.

## Properties
- ΔE to the lowest computed polymorph: 0 meV per atom
- ΔH_f (0 K): 0.130 eV/atom
- Size of the total moment: 0.0 μB/cell

Lattice parameters (Å, degrees): 5.552 5.519 25.291 90.00 90.00 120.20
Fractional positions:
Dy (0.827, 0.654, 0.250)
Dy (0.173, 0.346, 0.750)
Er (0.836, 0.672, 0.542)
Er (0.491, 0.983, 0.121)
Er (0.164, 0.328, 0.458)
Er (0.509, 0.017, 0.879)
Er (0.836, 0.672, 0.958)
Er (0.164, 0.328, 0.042)
Er (0.509, 0.017, 0.621)
Er (0.491, 0.983, 0.379)
Tm (0.500, 0.000, 0.000)
Tm (0.500, 0.000, 0.500)
Tm (0.159, 0.319, 0.319)
Tm (0.841, 0.681, 0.681)
Tm (0.841, 0.681, 0.819)
Tm (0.159, 0.319, 0.181)
Tm (0.826, 0.652, 0.397)
Tm (0.174, 0.348, 0.603)
Tm (0.174, 0.348, 0.897)
Tm (0.826, 0.652, 0.103)
Tm (0.493, 0.986, 0.250)
Tm (0.507, 0.014, 0.750)

***

No. 6
Computed, not measured: a relaxed Er2ThSb crystal at the PBE level of DFT.

## Properties
- ΔE to the lowest computed polymorph: 46 meV per atom
- Formation energy (no corrections): -41.4 kJ/mol of atoms
- Size of the total moment: 0.0 μB/cell

Lattice parameters (Å, degrees): 4.695 4.865 4.865 90.00 90.00 90.00
Fractional positions:
Sb (0.500, 0.000, 0.000)
Th (0.500, 0.500, 0.500)
Er (0.000, 0.000, 0.500)
Er (0.000, 0.500, 0.000)

***

No. 7
Computed, not measured: a relaxed Th2As4Ir3Pt crystal at the PBE level of DFT.

## Properties
- ΔH_f (0 K): -0.793 eV/atom
- Size of the total moment: 0.0 μB/cell

Lattice parameters (Å, degrees): 4.425 4.425 9.728 90.00 90.00 90.00
Fractional positions:
Th (0.500, 0.000, 0.250)
Th (0.000, 0.500, 0.750)
As (0.500, 0.500, 0.000)
As (0.000, 0.000, 0.000)
As (0.500, 0.000, 0.635)
As (0.000, 0.500, 0.365)
Ir (0.000, 0.000, 0.500)
Ir (0.500, 0.000, 0.885)
Ir (0.000, 0.500, 0.115)
Pt (0.500, 0.500, 0.500)

***

No. 8
Computed, not measured: a relaxed RbMgTa2Cr crystal at the PBE level of DFT.

## Properties
- ΔH_f (0 K): 3.282 eV/atom
- Size of the total moment: 0.5 μB/cell

Lattice parameters (Å, degrees): 4.822 4.830 4.822 90.00 90.00 90.00
Last column: magnetic moment on the atom in μB.
Fractional positions:
Cr (0.500, 0.500, 0.500)  0.08
Mg (0.000, 0.500, 0.000)  -0.01
Rb (0.000, 0.000, 0.000)  0.06
Ta (0.000, 0.000, 0.500)  0.23
Ta (0.500, 0.000, 0.000)  0.09

***

No. 9
Computed, not measured: a relaxed Nd2Ho3Er7 crystal at the PBE level of DFT.

## Properties
- ΔE to the lowest computed polymorph: 0 meV per atom
- ΔH_f (0 K): 0.083 eV/atom
- Size of the total moment: 0.0 μB/cell

Lattice parameters (Å, degrees): 3.497 6.299 17.805 75.59 90.00 90.00
Fractional positions:
Nd (0.500, 0.614, 0.326)
Nd (0.500, 0.386, 0.674)
Ho (0.500, 0.500, 0.000)
Ho (0.000, 0.109, 0.343)
Ho (0.000, 0.891, 0.657)
Er (0.500, 0.243, 0.501)
Er (0.500, 0.757, 0.499)
Er (0.000, 0.563, 0.163)
Er (0.000, 0.000, 0.000)
Er (0.000, 0.437, 0.837)
Er (0.500, 0.938, 0.834)
Er (0.500, 0.062, 0.166)

***

No. 10
Computed, not measured: a relaxed CePrCdRh crystal at the PBE level of DFT.

## Properties
- ΔH_f (0 K): -0.329 eV/atom
- Size of the total moment: 0.8 μB/cell

Lattice parameters (Å, degrees): 5.213 5.213 5.213 60.00 60.00 60.00
Last column: magnetic moment on the atom in μB.
Fractional positions:
Pr (0.750, 0.750, 0.750)  0.03
Rh (0.500, 0.500, 0.500)  -0.04
Ce (0.250, 0.250, 0.250)  0.68
Cd (0.000, 0.000, 0.000)  0.00

***

No. 11
Computed, not measured: a relaxed ScSi2HgGe crystal at the PBE level of DFT.

## Properties
- Formation energy (no corrections): 48.3 kJ/mol of atoms
- Size of the total moment: 0.0 μB/cell

Lattice parameters (Å, degrees): 4.756 5.172 4.756 90.00 90.00 90.00
Fractional positions:
Sc (0.000, 0.500, 0.000)
Ge (0.000, 0.000, 0.000)
Si (0.000, 0.000, 0.500)
Si (0.500, 0.000, 0.000)
Hg (0.500, 0.500, 0.500)

***

No. 12
Computed, not measured: a relaxed ThCu2Ni3 crystal at the PBE level of DFT.

## Properties
- ΔH_f (0 K): -0.215 eV/atom
- Size of the total moment: 0.0 μB/cell

Lattice parameters (Å, degrees): 4.854 6.113 6.113 94.67 90.00 90.00
Fractional positions:
Th (0.250, 0.291, 0.291)
Th (0.750, 0.709, 0.709)
Cu (0.500, 0.764, 0.236)
Cu (0.000, 0.764, 0.236)
Cu (0.000, 0.236, 0.764)
Cu (0.500, 0.236, 0.764)
Ni (0.750, 0.440, 0.083)
Ni (0.750, 0.083, 0.440)
Ni (0.250, 0.560, 0.917)
Ni (0.750, 0.047, 0.047)
Ni (0.250, 0.953, 0.953)
Ni (0.250, 0.917, 0.560)